[1]
Density functional theory data (GGA-PBE) for an optimized crystal structure of Nd2HoEr.

Unit cell a=11.8390 b=11.8390 c=11.8390 alpha=17.56 beta=17.56 gamma=17.56
Last column: nearest neighbours and their distance in Å.
Positions (direct):
1 Nd 0.0000 0.0000 0.0000  3 Er 3.57, 3 Ho 3.58, 6 Nd 3.62
2 Nd 0.1664 0.1664 0.1664  3 Ho 3.58, 3 Er 3.61, 6 Nd 3.62
3 Ho 0.4164 0.4164 0.4164  6 Nd 3.58, 6 Ho 3.62
4 Er 0.5838 0.5838 0.5838  6 Nd 3.57-3.61, 6 Er 3.62

Output
polymorph energy (0 for the lowest one) = 7 meV per atom
energy of formation from the pure elements = 20 meV per atom
calculated density = 7.814 g/cm³


[2]
Density functional theory data (GGA-PBE) for an optimized crystal structure of NdHo3Er5.

Unit cell a=9.6254 b=9.6254 c=11.2147 alpha=111.07 beta=111.07 gamma=38.10
Last column: nearest neighbours and their distance in Å.
Positions (direct):
1 Nd 0.1362 0.8638 0.7500  2 Ho 2.93, 1 Er 2.96
2 Nd 0.8638 0.1362 0.2500  2 Ho 2.93, 1 Er 2.96
3 Ho 0.0000 0.0000 0.0000  2 Nd 2.93
4 Ho 0.0000 0.0000 0.5000  2 Nd 2.93
5 Ho 0.1473 0.5295 0.4859  6 Er 3.31-3.66, 2 Ho 3.43-3.48, 1 Nd 3.46
6 Ho 0.4705 0.8527 0.0141  6 Er 3.31-3.66, 2 Ho 3.43-3.48, 1 Nd 3.46
7 Ho 0.5295 0.1473 0.9859  6 Er 3.31-3.66, 2 Ho 3.43-3.48, 1 Nd 3.46
8 Ho 0.8527 0.4705 0.5141  6 Er 3.31-3.66, 2 Ho 3.43-3.48, 1 Nd 3.46
9 Er 0.0073 0.6521 0.1282  4 Er 3.17-3.45, 1 Ho 3.48, 1 Nd 3.48
10 Er 0.1205 0.5403 0.7895  4 Ho 3.31-3.59, 2 Er 3.38-3.45, 1 Nd 3.42
11 Er 0.3479 0.9927 0.3718  4 Er 3.17-3.45, 1 Ho 3.48, 1 Nd 3.48
12 Er 0.3928 0.6072 0.2500  1 Nd 2.96, 2 Er 3.17
13 Er 0.4597 0.8795 0.7105  4 Ho 3.31-3.59, 2 Er 3.38-3.45, 1 Nd 3.42
14 Er 0.5403 0.1205 0.2895  4 Ho 3.31-3.59, 2 Er 3.38-3.45, 1 Nd 3.42
15 Er 0.6072 0.3928 0.7500  1 Nd 2.96, 2 Er 3.17
16 Er 0.6521 0.0073 0.6282  4 Er 3.17-3.45, 1 Ho 3.48, 1 Nd 3.48
17 Er 0.8795 0.4597 0.2105  4 Ho 3.31-3.59, 2 Er 3.38-3.45, 1 Nd 3.42
18 Er 0.9927 0.3479 0.8718  4 Er 3.17-3.45, 1 Ho 3.48, 1 Nd 3.48

Output
polymorph energy (0 for the lowest one) = 0 meV per atom
energy of formation from the pure elements = 315 meV per atom
calculated density = 8.263 g/cm³


[3]
Density functional theory data (GGA-PBE) for an optimized crystal structure of NdHo7Er12.

Unit cell a=9.6970 b=9.6970 c=9.6970 alpha=109.47 beta=109.47 gamma=109.47
Last column: nearest neighbours and their distance in Å.
Positions (direct):
1 Nd 0.0000 0.0000 0.0000  12 Er 4.05
2 Ho 0.0000 0.0000 0.5000  6 Er 2.80
3 Ho 0.0000 0.5000 0.0000  6 Er 2.80
4 Ho 0.0000 0.5000 0.5000  12 Er 3.86-3.96
5 Ho 0.5000 0.0000 0.0000  6 Er 2.80
6 Ho 0.5000 0.0000 0.5000  12 Er 3.86-3.96
7 Ho 0.5000 0.5000 0.0000  12 Er 3.86-3.96
8 Ho 0.5000 0.5000 0.5000  6 Er 2.80
9 Er 0.0006 0.2563 0.7443  2 Ho 2.80
10 Er 0.2563 0.2557 0.5119  2 Ho 2.80
11 Er 0.2557 0.5119 0.2563  2 Ho 2.80
12 Er 0.2563 0.7443 0.0006  2 Ho 2.80
13 Er 0.2557 0.9994 0.7437  2 Ho 2.80
14 Er 0.4881 0.7437 0.7443  2 Ho 2.80
15 Er 0.5119 0.2563 0.2557  2 Ho 2.80
16 Er 0.7443 0.0006 0.2563  2 Ho 2.80
17 Er 0.7437 0.2557 0.9994  2 Ho 2.80
18 Er 0.7443 0.4881 0.7437  2 Ho 2.80
19 Er 0.7437 0.7443 0.4881  2 Ho 2.80
20 Er 0.9994 0.7437 0.2557  2 Ho 2.80

Output
polymorph energy (0 for the lowest one) = 416 meV per atom
energy of formation from the pure elements = 728 meV per atom
calculated density = 7.821 g/cm³


[4]
Density functional theory data (GGA-PBE) for an optimized crystal structure of Nd4Ho3Er.

Unit cell a=5.6858 b=3.6577 c=13.2800 alpha=90.00 beta=102.31 gamma=90.00
Last column: nearest neighbours and their distance in Å.
Positions (direct):
1 Nd 0.1016 0.0000 0.2039  1 Nd 3.13, 2 Er 3.22
2 Nd 0.2223 0.0000 0.4455  3 Nd 3.13-3.18
3 Nd 0.7777 0.0000 0.5545  3 Nd 3.13-3.18
4 Nd 0.8984 0.0000 0.7961  1 Nd 3.13, 2 Er 3.22
5 Ho 0.3505 0.5000 0.7011  10 Nd 3.60-3.88, 2 Ho 3.66
6 Ho 0.5000 0.0000 0.0000  4 Er 3.38, 2 Ho 3.66
7 Ho 0.6495 0.5000 0.2989  10 Nd 3.60-3.88, 2 Ho 3.66
8 Er 0.0000 0.5000 0.0000  4 Nd 3.22, 4 Ho 3.38

Output
polymorph energy (0 for the lowest one) = 159 meV per atom
energy of formation from the pure elements = 187 meV per atom
calculated density = 7.625 g/cm³


Question: Which of these has the highest polymorph energy (0 for the lowest one)?
Answer: NdHo7Er12